# GeMo2S

GeMo2S after structural relaxation (PBE, the Alexandria database).

Lattice parameters (Å, degrees): 6.150 6.150 6.150 90.00 90.00 90.00
Element x y z (fractional)
Ge1 0.000 0.000 0.000
Ge2 0.000 0.500 0.500
Ge3 0.500 0.000 0.500
Ge4 0.500 0.500 0.000
Mo1 0.250 0.250 0.250
Mo2 0.250 0.250 0.750
Mo3 0.250 0.750 0.250
Mo4 0.250 0.750 0.750
Mo5 0.750 0.250 0.250
Mo6 0.750 0.250 0.750
Mo7 0.750 0.750 0.250
Mo8 0.750 0.750 0.750
S1 0.000 0.000 0.500
S2 0.000 0.500 0.000
S3 0.500 0.000 0.000
S4 0.500 0.500 0.500

Properties
energy relative to the lowest polymorph listed for this composition	0.000	eV/atom
formation energy (no corrections)	0.08	eV/atom
M_tot	0.000	μB/atom
DOS(E_F)	0.725	states/eV per atom